No. 1
Density functional theory data (PBE with a Hubbard U) for a relaxed structure of Rb2CdCo3F12.

```
Rb2CdCo3F12
1.0
3.714 2.144 5.972
-3.714 2.144 5.972
0.000 -4.288 5.972
Rb Cd Co F
2 1 3 12
direct
0.120 0.120 0.120 Rb
0.880 0.880 0.880 Rb
0.500 0.500 0.500 Cd
0.000 0.500 0.500 Co
0.500 0.000 0.500 Co
0.500 0.500 0.000 Co
0.128 0.597 0.597 F
0.200 0.200 0.584 F
0.200 0.584 0.200 F
0.403 0.403 0.872 F
0.403 0.872 0.403 F
0.416 0.800 0.800 F
0.584 0.200 0.200 F
0.597 0.128 0.597 F
0.597 0.597 0.128 F
0.800 0.416 0.800 F
0.800 0.800 0.416 F
0.872 0.403 0.403 F
```

Calculated values
Its symmetry is R-3m (166).



No. 2
Density functional theory data (PBE with a Hubbard U) for a relaxed structure of RbCd2CoF8.

```
RbCd2CoF8
1.0
5.106 0.000 0.000
0.130 5.185 0.000
0.024 0.035 7.234
Rb Cd Co F
1 2 1 8
direct
0.000 0.000 0.000 Rb
0.500 0.500 0.261 Cd
0.500 0.500 0.739 Cd
0.000 0.000 0.500 Co
0.160 0.796 0.680 F
0.163 0.799 0.321 F
0.310 0.277 0.501 F
0.430 0.271 0.001 F
0.570 0.729 0.999 F
0.690 0.723 0.499 F
0.837 0.201 0.679 F
0.840 0.204 0.320 F
```

Calculated values
Its symmetry is P-1 (2).



No. 3
Density functional theory data (PBE with a Hubbard U) for a relaxed structure of CdCoRhF6.

```
CdCoRhF6
1.0
5.472 0.000 0.000
-2.736 4.739 0.000
0.000 0.000 9.660
Cd Co Rh F
2 2 2 12
direct
0.000 0.000 0.000 Cd
0.000 0.000 0.500 Cd
0.333 0.667 0.250 Co
0.667 0.333 0.750 Co
0.333 0.667 0.750 Rh
0.667 0.333 0.250 Rh
0.013 0.351 0.134 F
0.013 0.662 0.366 F
0.338 0.351 0.366 F
0.338 0.987 0.134 F
0.351 0.013 0.634 F
0.351 0.338 0.866 F
0.649 0.662 0.134 F
0.649 0.987 0.366 F
0.662 0.013 0.866 F
0.662 0.649 0.634 F
0.987 0.338 0.634 F
0.987 0.649 0.866 F
```

Calculated values
Its symmetry is P-31c (163).



No. 4
Density functional theory data (PBE with a Hubbard U) for a relaxed structure of CdCoRu2F.

```
CdCoRu2F
1.0
4.148 0.000 0.000
0.000 4.148 0.000
0.000 0.000 4.690
Cd Co Ru F
1 1 2 1
direct
0.000 0.000 0.000 Cd
0.500 0.500 0.000 Co
0.000 0.500 0.500 Ru
0.500 0.000 0.500 Ru
0.000 0.000 0.500 F
```

Calculated values
Its symmetry is P4/mmm (123).



| no. | calculated total energy (eV per atom) | V (A^3/atom) | total moment (μB/f.u.) |
| --- | --- | --- | --- |
| 1 | -4.452 | 15.85 | 6.951 |
| 2 | -4.036 | 15.96 | 1.938 |
| 3 | -4.476 | 13.92 | 4.000 |
| 4 | -4.477 | 16.14 | 4.675 |